The following is a PBE-GGA calculation of Ir3OsRu3 after structural relaxation, from Alexandria.

Properties
Calculated formation energy (eV/atom): 0.412
E above lowest polymorph (kJ/mol of atoms): 3.0
Energy (eV/atom): -8.97

Unit cell a=6.866 b=7.550 c=9.863 alpha=60.72 beta=90.00 gamma=90.00
Positions (direct):
Ir1 0.723 0.942 0.824
Ir2 0.777 0.942 0.324
Ir3 0.315 0.741 0.652
Ir4 0.788 0.574 0.580
Ir5 0.185 0.741 0.152
Ir6 0.712 0.574 0.080
Ir7 0.288 0.426 0.920
Ir8 0.815 0.259 0.848
Ir9 0.212 0.426 0.420
Ir10 0.685 0.259 0.348
Ir11 0.223 0.058 0.676
Ir12 0.277 0.058 0.176
Os1 0.394 0.761 0.927
Os2 0.106 0.761 0.427
Os3 0.894 0.239 0.573
Os4 0.606 0.239 0.073
Ru1 0.928 0.859 0.628
Ru2 0.572 0.859 0.128
Ru3 0.027 0.693 0.918
Ru4 0.473 0.693 0.418
Ru5 0.645 0.609 0.804
Ru6 0.855 0.609 0.304
Ru7 0.145 0.391 0.696
Ru8 0.355 0.391 0.196
Ru9 0.527 0.307 0.582
Ru10 0.973 0.307 0.082
Ru11 0.428 0.141 0.872
Ru12 0.072 0.141 0.372